Entry 1:
VASP calculation (PBE) on a geometry-optimized Ta6TiMo5 structure.

Geometry as POSCAR:
```
Ta6TiMo5
1.0
2.289 -6.875 0.000
2.289 6.875 0.000
0.000 0.000 6.463
Ta Ti Mo
6 1 5
direct
0.000 0.000 0.246
0.000 0.000 0.754
0.331 0.669 0.248
0.331 0.669 0.752
0.669 0.331 0.248
0.669 0.331 0.752
0.500 0.500 0.500
0.164 0.836 0.500
0.167 0.833 0.000
0.500 0.500 0.000
0.833 0.167 0.000
0.836 0.164 0.500
```

Calculated values
DOS(E_F) = 1.00 states/eV/atom
energy of formation from the pure elements = -0.163 eV/atom


Entry 2:
VASP calculation (PBE) on a geometry-optimized MgCoP2 structure.

Geometry as POSCAR:
```
MgCoP2
1.0
3.718 0.000 0.000
0.000 3.670 0.000
-0.006 0.000 4.588
Mg Co P
1 1 2
direct
0.000 0.000 0.000
0.500 0.000 0.500
0.499 0.500 0.763
0.501 0.500 0.237
```

Calculated values
DOS(E_F) = 0.39 states/eV/atom
energy of formation from the pure elements = -0.309 eV/atom


Entry 3:
VASP calculation (PBE) on a geometry-optimized NdDyTh4 structure.

Geometry as POSCAR:
```
NdDyTh4
1.0
0.000 4.702 4.702
4.702 0.000 4.702
4.702 4.702 0.000
Nd Dy Th
1 1 4
direct
0.000 0.000 0.000
0.750 0.750 0.750
0.375 0.375 0.375
0.375 0.375 0.874
0.375 0.874 0.375
0.874 0.375 0.375
```

Calculated values
DOS(E_F) = 2.05 states/eV/atom
distance to the lowest polymorph of the same formula = 0.218 eV per atom
energy of formation from the pure elements = 0.269 eV/atom